# 1
A plane-wave DFT calculation with PBE-GGA was carried out for PrNdHo2Er after structural relaxation.

The structure in CIF format:
```
data_PrNdHo2Er
_chemical_formula_sum 'Pr4 Nd4 Ho8 Er4'
_cell_length_a 6.433
_cell_length_b 16.737
_cell_length_c 6.427
_cell_angle_alpha 90.00
_cell_angle_beta 90.00
_cell_angle_gamma 90.00
_symmetry_space_group_name_H-M 'C m c m'
_symmetry_Int_Tables_number 63
_symmetry_space_group_name_Hall '-C 2c 2'
loop_
_atom_site_label
_atom_site_type_symbol
_atom_site_fract_x
_atom_site_fract_y
_atom_site_fract_z
Pr1 Pr 0.000 0.158 0.250
Nd1 Nd 0.000 0.343 0.250
Ho1 Ho 0.249 0.000 0.000
Er1 Er 0.000 0.246 0.750
```

**Total magnetic moment**: 0.00 μB/cell
**Theoretical density**: 7.509 g/cm³
**ΔH_f (0 K)**: 349 meV per atom

---

# 2
A plane-wave DFT calculation with PBE-GGA was carried out for Pr2Pd3Pt after structural relaxation.

The structure in CIF format:
```
data_Pr2Pd3Pt
_chemical_formula_sum 'Pr4 Pd6 Pt2'
_cell_length_a 5.026
_cell_length_b 5.617
_cell_length_c 9.371
_cell_angle_alpha 90.00
_cell_angle_beta 90.00
_cell_angle_gamma 90.00
_symmetry_space_group_name_H-M 'I m m m'
_symmetry_Int_Tables_number 71
_symmetry_space_group_name_Hall '-I 2 2'
loop_
_atom_site_label
_atom_site_type_symbol
_atom_site_fract_x
_atom_site_fract_y
_atom_site_fract_z
Pr1 Pr 0.000 0.000 0.193
Pd1 Pd 0.000 0.500 0.140
Pd2 Pd 0.000 0.500 0.500
Pt1 Pt 0.000 0.000 0.500
```

**Excess energy over the best structure of this formula in the dataset**: 194 meV per atom
**Total magnetic moment**: 0.00 μB/cell
**Theoretical density**: 9.995 g/cm³
**ΔH_f (0 K)**: -556 meV per atom

---

What is the formula in the second record?
Pr2Pd3Pt

---

Which value of theoretical density does entry 2 give?
9.995 g/cm³

---

Among the records above, which one has the lowest theoretical density?
PrNdHo2Er